A plane-wave DFT calculation with PBE-GGA was carried out for a relaxed structure of K2MgIr.

Cell: 4.4797 5.7717 9.5541 Å, 90.00 90.00 90.00°
With the nearest neighbours (Å) after each atom.
Positions (direct):
K  0.0000  0.0000  0.0000  4 K 3.46-3.63, 4 Ir 3.52-3.55, 4 Mg 3.76
K  0.0000  0.5000  0.2005  4 K 3.46-3.63, 4 Mg 3.50-3.58, 4 Ir 3.74
K  0.5000  0.0000  0.7005  4 K 3.46-3.63, 4 Mg 3.50-3.58, 4 Ir 3.74
K  0.5000  0.5000  0.5000  4 K 3.46-3.63, 4 Ir 3.52-3.55, 4 Mg 3.76
Mg  0.0000  0.0000  0.4075  2 Ir 2.53
Mg  0.5000  0.5000  0.9075  2 Ir 2.53
Ir  0.0000  0.5000  0.7845  2 Mg 2.53
Ir  0.5000  0.0000  0.2845  2 Mg 2.53

Output
* VASP energy: -10.8 eV per formula unit
* formation enthalpy at 0 K: 45.3 kJ per mole of atoms
* space group: Imm2 (44)



A plane-wave DFT calculation with PBE-GGA was carried out for a relaxed structure of KMgIr2.

Cell: 4.0067 4.0067 4.5706 Å, 90.00 90.00 90.00°
With the nearest neighbours (Å) after each atom.
Positions (direct):
K  0.0000  0.0000  0.0000  4 Mg 2.83, 8 Ir 3.04
Mg  0.5000  0.5000  0.0000  4 K 2.83, 8 Ir 3.04
Ir  0.0000  0.5000  0.5000  4 Ir 2.83, 4 K 3.04, 4 Mg 3.04
Ir  0.5000  0.0000  0.5000  4 Ir 2.83, 4 K 3.04, 4 Mg 3.04

Output
* VASP energy: -17.4 eV per formula unit
* formation enthalpy at 0 K: 72.6 kJ per mole of atoms
* space group: P4/mmm (123)



A plane-wave DFT calculation with PBE-GGA was carried out for a relaxed structure of K2MgIr.

Cell: 3.2914 3.9749 9.9565 Å, 90.00 90.00 90.00°
With the nearest neighbours (Å) after each atom.
Positions (direct):
K  0.0000  0.0000  0.0000  1 Ir 3.26, 2 K 3.29
K  0.5000  0.5000  0.4211  1 Mg 3.11, 2 K 3.29
Mg  0.5000  0.5000  0.7333  4 Ir 2.65
Ir  0.0000  0.0000  0.6726  4 Mg 2.65

Output
* VASP energy: -11.6 eV per formula unit
* formation enthalpy at 0 K: 25.6 kJ per mole of atoms
* space group: Pmm2 (25)



- Look up the VASP energy of the third one.
  -11.6 eV per formula unit